Entry 1:
A plane-wave DFT calculation with GGA+U was carried out for crystalline MgZnFe2O4 at its relaxed geometry.

Unit cell a=5.2489 b=3.1026 c=5.3284 alpha=90.00 beta=108.70 gamma=90.00
Last column: nearest neighbours and their distance in Å.
Sites, in units of the cell vectors:
Mg  0.0000  0.0000  0.0000  6 O 2.14-2.15
Zn  0.5000  0.5000  0.0000  6 O 2.08-2.21
Fe  0.0000  0.5000  0.5000  6 O 2.16-2.22
Fe  0.5000  0.0000  0.5000  6 O 2.15-2.24
O  0.2436  0.0000  0.7443  1 Mg 2.15, 3 Fe 2.15-2.16, 2 Zn 2.21
O  0.2464  0.5000  0.2313  1 Zn 2.08, 2 Mg 2.14, 3 Fe 2.22-2.24
O  0.7536  0.5000  0.7687  1 Zn 2.08, 2 Mg 2.14, 3 Fe 2.22-2.24
O  0.7564  0.0000  0.2557  1 Mg 2.15, 3 Fe 2.15-2.16, 2 Zn 2.21

- magnetic moment (Bohr magnetons per cell) = 8.01
- raw total energy (eV per atom) = -5.9244
- mass density (g/cm³) = 5.4
- symmetry = P2/m (10)

Entry 2:
A plane-wave DFT calculation with GGA+U was carried out for crystalline Mg6ZnFeO8 at its relaxed geometry.

Unit cell a=4.2714 b=4.2714 c=8.6104 alpha=90.00 beta=90.00 gamma=90.00
Last column: nearest neighbours and their distance in Å.
Sites, in units of the cell vectors:
Mg  0.0000  0.0000  0.0000  6 O 2.13-2.14
Mg  0.0000  0.5000  0.2489  6 O 2.14-2.16
Mg  0.0000  0.5000  0.7511  6 O 2.14-2.16
Mg  0.5000  0.0000  0.2489  6 O 2.14-2.16
Mg  0.5000  0.0000  0.7511  6 O 2.14-2.16
Mg  0.5000  0.5000  0.0000  6 O 2.10-2.14
Zn  0.0000  0.0000  0.5000  6 O 2.14-2.17
Fe  0.5000  0.5000  0.5000  6 O 2.14-2.21
O  0.0000  0.0000  0.2476  5 Mg 2.13-2.14, 1 Zn 2.17
O  0.0000  0.0000  0.7524  5 Mg 2.13-2.14, 1 Zn 2.17
O  0.0000  0.5000  0.0000  6 Mg 2.14
O  0.0000  0.5000  0.5000  2 Fe 2.14, 2 Zn 2.14, 2 Mg 2.16
O  0.5000  0.0000  0.0000  6 Mg 2.14
O  0.5000  0.0000  0.5000  2 Fe 2.14, 2 Zn 2.14, 2 Mg 2.16
O  0.5000  0.5000  0.2437  5 Mg 2.10-2.14, 1 Fe 2.21
O  0.5000  0.5000  0.7563  5 Mg 2.10-2.14, 1 Fe 2.21

- magnetic moment (Bohr magnetons per cell) = 4.00
- raw total energy (eV per atom) = -5.8108
- mass density (g/cm³) = 4.2
- symmetry = P4/mmm (123)